# 1
Sc2TeC | PBE-GGA | optimized geometry

Output
Magnetization, μB/atom: 0.00

Cell: 4.710 4.710 4.710 Å, 60.00 60.00 60.00°
Sites, in units of the cell vectors:
Sc 0.250 0.250 0.250
Sc 0.750 0.750 0.750
C 0.000 0.000 0.000
Te 0.500 0.500 0.500

***

# 2
Sc4Te5C2 | PBE-GGA | optimized geometry

Output
Magnetization, μB/atom: 0.00

Cell: 3.848 7.912 10.040 Å, 113.20 101.05 90.00°
Sites, in units of the cell vectors:
Sc 0.000 0.282 0.000
Sc 0.659 0.659 0.319
Sc 0.000 0.718 0.000
Sc 0.341 0.341 0.681
Te 0.841 0.074 0.682
Te 0.841 0.608 0.682
Te 0.159 0.392 0.318
Te 0.159 0.926 0.318
Te 0.500 0.000 0.000
C 0.464 0.464 0.928
C 0.536 0.536 0.072

***

# 3
Sc4Te5C | PBE-GGA | optimized geometry

Output
Magnetization, μB/atom: 0.00

Cell: 3.723 8.120 8.679 Å, 97.67 102.38 90.00°
Sites, in units of the cell vectors:
Sc 0.641 0.072 0.281
Sc 0.990 0.192 0.980
Sc 0.359 0.928 0.719
Sc 0.010 0.808 0.020
Te 0.153 0.350 0.306
Te 0.178 0.822 0.356
Te 0.822 0.178 0.644
Te 0.500 0.500 0.000
Te 0.847 0.650 0.694
C 0.500 0.000 0.000

***

# 4
Sc6TeC2 | PBE-GGA | optimized geometry

Output
Magnetization, μB/atom: 0.00

Cell: 6.165 8.063 8.063 Å, 65.33 87.12 87.12°
Sites, in units of the cell vectors:
Sc 0.580 0.665 0.601
Sc 0.920 0.399 0.335
Sc 0.420 0.335 0.399
Sc 0.080 0.601 0.665
Sc 0.811 0.036 0.381
Sc 0.689 0.619 0.964
Sc 0.189 0.964 0.619
Sc 0.311 0.381 0.036
Sc 0.168 0.746 0.019
Sc 0.332 0.981 0.254
Sc 0.832 0.254 0.981
Sc 0.668 0.019 0.746
Te 0.250 0.186 0.814
Te 0.750 0.814 0.186
C 0.356 0.676 0.821
C 0.144 0.179 0.324
C 0.644 0.324 0.179
C 0.856 0.821 0.676

***

# 5
Sc7Te3C2 | PBE-GGA | optimized geometry

Output
Magnetization, μB/atom: 0.00

Cell: 4.492 4.520 11.970 Å, 100.88 90.00 90.00°
Sites, in units of the cell vectors:
Sc 0.000 0.407 0.813
Sc 0.000 0.807 0.614
Sc 0.000 0.000 0.000
Sc 0.000 0.593 0.187
Sc 0.500 0.096 0.192
Sc 0.500 0.904 0.808
Sc 0.000 0.193 0.386
Te 0.500 0.500 0.000
Te 0.500 0.686 0.373
Te 0.500 0.314 0.627
C 0.000 0.903 0.805
C 0.000 0.097 0.195

***

# 6
Sc6TeC | PBE-GGA | optimized geometry

Output
Magnetization, μB/atom: 0.00

Cell: 6.075 6.082 6.737 Å, 63.25 63.33 60.06°
Sites, in units of the cell vectors:
Sc 0.032 0.400 0.774
Sc 0.795 0.031 0.774
Sc 0.600 0.205 0.225
Sc 0.205 0.969 0.226
Sc 0.968 0.600 0.226
Sc 0.400 0.795 0.775
Te 0.500 0.500 0.500
C 0.000 0.000 0.000

***

# 7
ScTe2C | PBE-GGA | optimized geometry

Output
Magnetization, μB/atom: 0.00

Cell: 8.993 8.993 8.993 Å, 22.21 22.21 22.21°
Sites, in units of the cell vectors:
Sc 0.000 0.000 0.000
C 0.500 0.500 0.500
Te 0.891 0.891 0.891
Te 0.109 0.109 0.109

***

# 8
Sc3TeC | PBE-GGA | optimized geometry

Output
ΔE to the lowest computed polymorph, eV/atom: 0.000
Magnetization, μB/atom: 0.00

Cell: 3.640 6.388 8.722 Å, 103.41 90.00 90.00°
Sites, in units of the cell vectors:
Sc 0.250 0.058 0.372
Sc 0.250 0.593 0.351
Sc 0.250 0.279 0.903
Sc 0.750 0.942 0.628
Sc 0.750 0.721 0.097
Sc 0.750 0.407 0.649
Te 0.750 0.257 0.167
Te 0.250 0.743 0.833
C 0.750 0.816 0.366
C 0.250 0.184 0.634

***

# 9
ScTe3C | PBE-GGA | optimized geometry

Output
ΔE to the lowest computed polymorph, eV/atom: 0.727
Magnetization, μB/atom: 0.18

Cell: 5.508 5.508 5.508 Å, 90.00 90.00 90.00°
Last column: magnetic moment on the atom in μB.
Sites, in units of the cell vectors:
Sc 0.000 0.000 0.000  0.02
C 0.500 0.500 0.500  0.91
Te 0.000 0.500 0.000  -0.16
Te 0.000 0.000 0.500  -0.29
Te 0.500 0.000 0.000  -0.12

***

# 10
Sc3TeC | PBE-GGA | optimized geometry

Output
ΔE to the lowest computed polymorph, eV/atom: 0.061
Magnetization, μB/atom: 0.00

Cell: 4.542 4.542 4.542 Å, 90.00 90.00 90.00°
Sites, in units of the cell vectors:
Sc 0.000 0.500 0.000
Sc 0.000 0.000 0.500
Sc 0.500 0.000 0.000
C 0.000 0.000 0.000
Te 0.500 0.500 0.500

***

# 11
Sc4TeC | PBE-GGA | optimized geometry

Output
Magnetization, μB/atom: 0.00

Cell: 5.847 6.873 7.637 Å, 110.77 105.71 104.42°
Sites, in units of the cell vectors:
Sc 0.280 0.933 0.594
Sc 0.045 0.850 0.103
Sc 0.186 0.339 0.406
Sc 0.442 0.747 0.897
Sc 0.720 0.067 0.406
Sc 0.814 0.661 0.594
Sc 0.955 0.150 0.897
Sc 0.558 0.253 0.103
Te 0.359 0.609 0.217
Te 0.641 0.391 0.783
C 0.817 0.067 0.133
C 0.183 0.933 0.867

***

# 12
Sc3TeC | PBE-GGA | optimized geometry

Output
ΔE to the lowest computed polymorph, eV/atom: 0.264
Magnetization, μB/atom: 0.00

Cell: 3.565 6.965 9.013 Å, 90.00 101.41 90.00°
Sites, in units of the cell vectors:
Sc 0.899 0.382 0.798
Sc 0.101 0.882 0.202
Sc 0.577 0.243 0.154
Sc 0.423 0.743 0.846
Sc 0.765 0.654 0.529
Sc 0.235 0.154 0.471
Te 0.851 0.003 0.703
Te 0.149 0.503 0.297
C 0.340 0.513 0.680
C 0.660 0.013 0.320

***

no.,uncorrected formation energy (eV per atom)
1,0.247
2,-0.707
3,-0.849
4,-0.353
5,-0.712
6,-0.308
7,1.018
8,-0.719
9,1.209
10,-0.658
11,-0.556
12,-0.455